1.
# Ba2In12Au | Alexandria | GGA-PBE | optimized geometry
# formation energy: -262 meV/atom
# magnetic moment: 0.0 μB/f.u.
# total energy: -87.84 eV per cell
data_Ba2In12Au
_chemical_formula_sum 'Ba4 In24 Au2'
_space_group_name_H-M_alt 'P 1'
_space_group_IT_number 1
_space_group_name_Hall 'P 1'
_cell_length_a 7.0237
_cell_length_b 7.0237
_cell_length_c 17.8287
_cell_angle_alpha 90.00
_cell_angle_beta 90.00
_cell_angle_gamma 90.00
loop_
_atom_site_label
_atom_site_fract_x
_atom_site_fract_y
_atom_site_fract_z
_atom_site_occupancy
Ba1 0.2500 0.7500 0.2442 1
Ba2 0.2500 0.7500 0.7558 1
Ba3 0.7500 0.2500 0.2442 1
Ba4 0.7500 0.2500 0.7558 1
In1 0.9999 0.0001 0.0858 1
In2 0.0001 0.9999 0.9142 1
In3 0.0001 0.5001 0.0858 1
In4 0.9999 0.4999 0.9142 1
In5 0.0818 0.5818 0.4311 1
In6 0.0818 0.9182 0.5689 1
In7 0.2500 0.2500 0.1819 1
In8 0.2500 0.2500 0.3443 1
In9 0.2500 0.2500 0.6557 1
In10 0.2500 0.2500 0.8181 1
In11 0.4182 0.5818 0.5689 1
In12 0.4182 0.9182 0.4311 1
In13 0.4999 0.9999 0.0858 1
In14 0.5001 0.0001 0.9142 1
In15 0.5001 0.4999 0.0858 1
In16 0.4999 0.5001 0.9142 1
In17 0.5818 0.0818 0.5689 1
In18 0.5818 0.4182 0.4311 1
In19 0.7500 0.7500 0.1819 1
In20 0.7500 0.7500 0.3443 1
In21 0.7500 0.7500 0.6557 1
In22 0.7500 0.7500 0.8181 1
In23 0.9182 0.0818 0.4311 1
In24 0.9182 0.4182 0.5689 1
Au1 0.2500 0.7500 0.0000 1
Au2 0.7500 0.2500 0.0000 1

2.
# Ba2InAu | Alexandria | GGA-PBE | optimized geometry
# formation energy: -365 meV/atom
# magnetic moment: 0.0 μB/f.u.
# total energy: -11.32 eV per cell
data_Ba2InAu
_chemical_formula_sum 'Ba2 In1 Au1'
_space_group_name_H-M_alt 'P 1'
_space_group_IT_number 1
_space_group_name_Hall 'P 1'
_cell_length_a 5.4141
_cell_length_b 4.4476
_cell_length_c 7.0347
_cell_angle_alpha 90.00
_cell_angle_beta 90.16
_cell_angle_gamma 90.00
loop_
_atom_site_label
_atom_site_fract_x
_atom_site_fract_y
_atom_site_fract_z
_atom_site_occupancy
Ba1 0.0000 0.0000 0.0000 1
Ba2 0.5000 0.5000 0.5000 1
In1 0.0000 0.0000 0.5000 1
Au1 0.5000 0.5000 0.0000 1

3.
# BaInAu2 | Alexandria | GGA-PBE | optimized geometry
# formation energy: -488 meV/atom
# magnetic moment: 0.0 μB/f.u.
# total energy: -13.17 eV per cell
data_BaInAu2
_chemical_formula_sum 'Ba1 In1 Au2'
_space_group_name_H-M_alt 'P 1'
_space_group_IT_number 1
_space_group_name_Hall 'P 1'
_cell_length_a 6.4554
_cell_length_b 6.4554
_cell_length_c 6.4554
_cell_angle_alpha 43.97
_cell_angle_beta 43.97
_cell_angle_gamma 43.97
loop_
_atom_site_label
_atom_site_fract_x
_atom_site_fract_y
_atom_site_fract_z
_atom_site_occupancy
Ba1 0.0000 0.0000 0.0000 1
In1 0.1973 0.1973 0.1973 1
Au1 0.4675 0.4675 0.4675 1
Au2 0.7960 0.7960 0.7960 1

4.
# Ba6InAu | Alexandria | GGA-PBE | optimized geometry
# formation energy: -231 meV/atom
# magnetic moment: 0.0 μB/f.u.
# total energy: -19.40 eV per cell
data_Ba6InAu
_chemical_formula_sum 'Ba6 In1 Au1'
_space_group_name_H-M_alt 'P 1'
_space_group_IT_number 1
_space_group_name_Hall 'P 1'
_cell_length_a 9.0926
_cell_length_b 9.0926
_cell_length_c 9.0926
_cell_angle_alpha 53.80
_cell_angle_beta 53.80
_cell_angle_gamma 53.80
loop_
_atom_site_label
_atom_site_fract_x
_atom_site_fract_y
_atom_site_fract_z
_atom_site_occupancy
Ba1 0.0857 0.7277 0.4352 1
Ba2 0.2723 0.5648 0.9143 1
Ba3 0.4352 0.0857 0.7277 1
Ba4 0.5648 0.9143 0.2723 1
Ba5 0.7277 0.4352 0.0857 1
Ba6 0.9143 0.2723 0.5648 1
In1 0.0000 0.0000 0.0000 1
Au1 0.5000 0.5000 0.5000 1

5.
# Ba2In2Au | Alexandria | GGA-PBE | optimized geometry
# excess energy over the best structure of this formula in the dataset: 14 meV per atom
# formation energy: -490 meV/atom
# magnetic moment: 0.0 μB/f.u.
# total energy: -15.05 eV per cell
data_Ba2In2Au
_chemical_formula_sum 'Ba2 In2 Au1'
_space_group_name_H-M_alt 'P 1'
_space_group_IT_number 1
_space_group_name_Hall 'P 1'
_cell_length_a 4.3551
_cell_length_b 8.3146
_cell_length_c 8.3146
_cell_angle_alpha 34.74
_cell_angle_beta 90.00
_cell_angle_gamma 90.00
loop_
_atom_site_label
_atom_site_fract_x
_atom_site_fract_y
_atom_site_fract_z
_atom_site_occupancy
Ba1 0.0000 0.0000 0.0000 1
Ba2 0.0000 0.2434 0.2434 1
In1 0.5000 0.6185 0.6185 1
In2 0.5000 0.8227 0.8227 1
Au1 0.5000 0.4191 0.4191 1

6.
# Ba8In2Au3 | Alexandria | GGA-PBE | optimized geometry
# formation energy: -425 meV/atom
# magnetic moment: 0.0 μB/f.u.
# total energy: -36.22 eV per cell
data_Ba8In2Au3
_chemical_formula_sum 'Ba8 In2 Au3'
_space_group_name_H-M_alt 'P 1'
_space_group_IT_number 1
_space_group_name_Hall 'P 1'
_cell_length_a 10.1332
_cell_length_b 10.1332
_cell_length_c 5.8440
_cell_angle_alpha 90.00
_cell_angle_beta 90.00
_cell_angle_gamma 109.35
loop_
_atom_site_label
_atom_site_fract_x
_atom_site_fract_y
_atom_site_fract_z
_atom_site_occupancy
Ba1 0.1172 0.8828 0.0000 1
Ba2 0.1228 0.3642 0.5000 1
Ba3 0.3642 0.1228 0.5000 1
Ba4 0.3764 0.6236 0.0000 1
Ba5 0.6236 0.3764 0.0000 1
Ba6 0.6358 0.8772 0.5000 1
Ba7 0.8772 0.6358 0.5000 1
Ba8 0.8828 0.1172 0.0000 1
In1 0.2542 0.7458 0.5000 1
In2 0.7458 0.2542 0.5000 1
Au1 0.0000 0.0000 0.5000 1
Au2 0.2586 0.2586 0.0000 1
Au3 0.7414 0.7414 0.0000 1